## HfTeCl3 (PBE)

Data for a relaxed structure of HfTeCl3.

Cell lengths 5.481, 5.481, 5.481 Å; angles 90.00, 90.00, 90.00 degrees
Space group Pm-3m (No. 221)
Unique sites:
Hf 0.000 0.000 0.000 (multiplicity 1)
Te 0.500 0.500 0.500 (multiplicity 1)
Cl 0.000 0.500 0.500 (multiplicity 3)

Values from the calculation:
DOS(E_F) ... 7.35 states/eV/f.u.
ΔE_f (raw) ... 0.63 eV per atom
Energy above the lowest structure with this stoichiometry ... 40.64 kcal/mol of atoms
Density ... 4.2 g/cm3
Total magnetization ... 1.99 μB per formula unit

## Hf2TeCl2 (PBE)

Data for a relaxed structure of Hf2TeCl2.

Cell lengths 4.740, 4.740, 9.462 Å; angles 90.00, 90.00, 90.00 degrees
Space group I4/mmm (No. 139)
Unique sites:
Hf 0.000 0.500 0.250 (multiplicity 4)
Te 0.000 0.000 0.000 (multiplicity 2)
Cl 0.000 0.000 0.354 (multiplicity 4)

Values from the calculation:
DOS(E_F) ... 3.39 states/eV/f.u.
ΔE_f (raw) ... -0.46 eV per atom
Density ... 8.7 g/cm3
Total magnetization ... 0.00 μB per formula unit

## Hf2TeCl2 (PBE)

Data for a relaxed structure of Hf2TeCl2.

Cell lengths 8.024, 8.024, 3.139 Å; angles 90.00, 90.00, 90.00 degrees
Space group P4/mbm (No. 127)
Unique sites:
Hf 0.195 0.305 0.000 (multiplicity 4)
Te 0.000 0.000 0.500 (multiplicity 2)
Cl 0.122 0.622 0.500 (multiplicity 4)

Values from the calculation:
DOS(E_F) ... 2.30 states/eV/f.u.
ΔE_f (raw) ... -0.21 eV per atom
Density ... 9.1 g/cm3
Total magnetization ... 0.00 μB per formula unit

## HfTeCl3 (PBE)

Data for a relaxed structure of HfTeCl3.

Cell lengths 5.054, 5.054, 5.054 Å; angles 90.00, 90.00, 90.00 degrees
Space group Pm-3m (No. 221)
Unique sites:
Hf 0.000 0.000 0.000 (multiplicity 1)
Te 0.500 0.500 0.500 (multiplicity 1)
Cl 0.000 0.000 0.500 (multiplicity 3)

Values from the calculation:
DOS(E_F) ... 3.90 states/eV/f.u.
ΔE_f (raw) ... -0.68 eV per atom
Energy above the lowest structure with this stoichiometry ... 10.49 kcal/mol of atoms
Density ... 5.3 g/cm3
Total magnetization ... 1.65 μB per formula unit

## HfTe4Cl6 (PBE)

Data for a relaxed structure of HfTe4Cl6.

Cell lengths 7.115, 7.722, 7.726 Å; angles 78.17, 78.04, 75.57 degrees
Space group P-1 (No. 2)
Unique sites:
Hf 0.000 0.000 0.000 (multiplicity 1)
Te 0.300 0.441 0.407 (multiplicity 2)
Te 0.480 0.302 0.700 (multiplicity 2)
Cl 0.175 0.073 0.690 (multiplicity 2)
Cl 0.224 0.122 0.118 (multiplicity 2)
Cl 0.225 0.697 0.028 (multiplicity 2)

Values from the calculation:
ΔE_f (raw) ... -0.98 eV per atom
Density ... 3.8 g/cm3
Total magnetization ... 0.00 μB per formula unit

## HfTe3Cl (PBE)

Data for a relaxed structure of HfTe3Cl.

Cell lengths 5.260, 5.260, 5.260 Å; angles 90.00, 90.00, 90.00 degrees
Space group Pm-3m (No. 221)
Unique sites:
Hf 0.000 0.000 0.000 (multiplicity 1)
Te 0.000 0.500 0.500 (multiplicity 3)
Cl 0.500 0.500 0.500 (multiplicity 1)

Values from the calculation:
DOS(E_F) ... 3.96 states/eV/f.u.
ΔE_f (raw) ... 0.80 eV per atom
Energy above the lowest structure with this stoichiometry ... 21.42 kcal/mol of atoms
Density ... 6.8 g/cm3
Total magnetization ... 0.04 μB per formula unit

## HfTeCl2 (PBE)

Data for a relaxed structure of HfTeCl2.

Cell lengths 9.019, 9.019, 5.509 Å; angles 90.00, 90.00, 90.00 degrees
Space group I-42d (No. 122)
Unique sites:
Hf 0.000 0.000 0.000 (multiplicity 4)
Te 0.000 0.000 0.500 (multiplicity 4)
Cl 0.117 0.250 0.125 (multiplicity 8)

Values from the calculation:
DOS(E_F) ... 0.00 states/eV/f.u.
ΔE_f (raw) ... -0.96 eV per atom
Energy above the lowest structure with this stoichiometry ... 0.00 kcal/mol of atoms
Density ... 5.6 g/cm3
Total magnetization ... 0.00 μB per formula unit

## HfTeCl3 (PBE)

Data for a relaxed structure of HfTeCl3.

Cell lengths 6.239, 6.599, 7.863 Å; angles 89.89, 90.00, 89.94 degrees
Space group P1 (No. 1)
Unique sites:
Hf 0.000 0.000 0.000 (multiplicity 1)
Hf 0.500 0.500 0.021 (multiplicity 1)
Te 0.264 0.503 0.314 (multiplicity 1)
Te 0.764 0.004 0.707 (multiplicity 1)
Cl 0.220 0.003 0.266 (multiplicity 1)
Cl 0.257 0.253 0.871 (multiplicity 1)
Cl 0.259 0.752 0.870 (multiplicity 1)
Cl 0.720 0.504 0.756 (multiplicity 1)
Cl 0.757 0.752 0.151 (multiplicity 1)
Cl 0.759 0.251 0.151 (multiplicity 1)

Values from the calculation:
DOS(E_F) ... 3.02 states/eV/f.u.
ΔE_f (raw) ... -1.13 eV per atom
Energy above the lowest structure with this stoichiometry ... 0.00 kcal/mol of atoms
Density ... 4.2 g/cm3
Total magnetization ... 0.00 μB per formula unit